Ac3Tl3Ga2 | PBE-GGA | optimized geometry

CIF file:
```
data_Ac3Tl3Ga2
_chemical_formula_sum 'Ac6 Tl6 Ga4'
_cell_length_a 6.646
_cell_length_b 6.646
_cell_length_c 16.756
_cell_angle_alpha 90.00
_cell_angle_beta 90.00
_cell_angle_gamma 138.46
_symmetry_space_group_name_H-M 'P 1'
_symmetry_Int_Tables_number 1
loop_
_symmetry_equiv_pos_as_xyz
'x,y,z'
loop_
_atom_site_label
_atom_site_fract_x
_atom_site_fract_y
_atom_site_fract_z
Ac1 0.060 0.940 0.608
Ac2 0.060 0.940 0.892
Ac3 0.340 0.660 0.750
Ac4 0.660 0.340 0.250
Ac5 0.940 0.060 0.108
Ac6 0.940 0.060 0.392
Tl1 0.355 0.645 0.536
Tl2 0.355 0.645 0.964
Tl3 0.385 0.615 0.250
Tl4 0.615 0.385 0.750
Tl5 0.645 0.355 0.036
Tl6 0.645 0.355 0.464
Ga1 0.229 0.771 0.117
Ga2 0.229 0.771 0.383
Ga3 0.771 0.229 0.617
Ga4 0.771 0.229 0.883
```

Rb4Er3PuO8 | PBE-GGA | optimized geometry

CIF file:
```
data_Rb4Er3PuO8
_chemical_formula_sum 'Rb4 Er3 Pu1 O8'
_cell_length_a 7.706
_cell_length_b 7.706
_cell_length_c 7.706
_cell_angle_alpha 54.21
_cell_angle_beta 54.21
_cell_angle_gamma 54.21
_symmetry_space_group_name_H-M 'P 1'
_symmetry_Int_Tables_number 1
loop_
_symmetry_equiv_pos_as_xyz
'x,y,z'
loop_
_atom_site_label
_atom_site_fract_x
_atom_site_fract_y
_atom_site_fract_z
Rb1 0.000 0.000 0.000
Rb2 0.000 0.500 0.500
Rb3 0.500 0.000 0.500
Rb4 0.500 0.500 0.000
Er1 0.000 0.000 0.500
Er2 0.000 0.500 0.000
Er3 0.500 0.000 0.000
Pu1 0.500 0.500 0.500
O1 0.218 0.729 0.729
O2 0.225 0.225 0.225
O3 0.271 0.271 0.782
O4 0.271 0.782 0.271
O5 0.729 0.218 0.729
O6 0.729 0.729 0.218
O7 0.775 0.775 0.775
O8 0.782 0.271 0.271
```

GeH | PBE-GGA | optimized geometry

CIF file:
```
data_GeH
_chemical_formula_sum 'Ge1 H1'
_cell_length_a 2.829
_cell_length_b 2.829
_cell_length_c 3.626
_cell_angle_alpha 90.00
_cell_angle_beta 90.00
_cell_angle_gamma 120.00
_symmetry_space_group_name_H-M 'P 1'
_symmetry_Int_Tables_number 1
loop_
_symmetry_equiv_pos_as_xyz
'x,y,z'
loop_
_atom_site_label
_atom_site_fract_x
_atom_site_fract_y
_atom_site_fract_z
Ge1 0.000 0.000 0.000
H1 0.000 0.000 0.500
```

DyAg2Pb2 | PBE-GGA | optimized geometry

CIF file:
```
data_DyAg2Pb2
_chemical_formula_sum 'Dy2 Ag4 Pb4'
_cell_length_a 11.855
_cell_length_b 11.855
_cell_length_c 4.560
_cell_angle_alpha 90.00
_cell_angle_beta 90.00
_cell_angle_gamma 157.77
_symmetry_space_group_name_H-M 'P 1'
_symmetry_Int_Tables_number 1
loop_
_symmetry_equiv_pos_as_xyz
'x,y,z'
loop_
_atom_site_label
_atom_site_fract_x
_atom_site_fract_y
_atom_site_fract_z
Dy1 0.137 0.863 0.750
Dy2 0.863 0.137 0.250
Ag1 0.038 0.962 0.250
Ag2 0.462 0.538 0.250
Ag3 0.538 0.462 0.750
Ag4 0.962 0.038 0.750
Pb1 0.250 0.750 0.250
Pb2 0.377 0.623 0.750
Pb3 0.623 0.377 0.250
Pb4 0.750 0.250 0.750
```

LiLa5Tm4 | PBE-GGA | optimized geometry

CIF file:
```
data_LiLa5Tm4
_chemical_formula_sum 'Li1 La5 Tm4'
_cell_length_a 3.722
_cell_length_b 3.722
_cell_length_c 23.740
_cell_angle_alpha 90.00
_cell_angle_beta 90.00
_cell_angle_gamma 90.00
_symmetry_space_group_name_H-M 'P 1'
_symmetry_Int_Tables_number 1
loop_
_symmetry_equiv_pos_as_xyz
'x,y,z'
loop_
_atom_site_label
_atom_site_fract_x
_atom_site_fract_y
_atom_site_fract_z
Li1 0.000 0.000 0.000
La1 0.500 0.500 0.090
La2 0.500 0.500 0.296
La3 0.500 0.500 0.500
La4 0.500 0.500 0.704
La5 0.500 0.500 0.910
Tm1 0.000 0.000 0.193
Tm2 0.000 0.000 0.398
Tm3 0.000 0.000 0.602
Tm4 0.000 0.000 0.807
```

Ho3Ga2Cu3 | PBE-GGA | optimized geometry

CIF file:
```
data_Ho3Ga2Cu3
_chemical_formula_sum 'Ho12 Ga8 Cu12'
_cell_length_a 7.327
_cell_length_b 14.940
_cell_length_c 5.781
_cell_angle_alpha 90.00
_cell_angle_beta 90.00
_cell_angle_gamma 90.00
_symmetry_space_group_name_H-M 'P 1'
_symmetry_Int_Tables_number 1
loop_
_symmetry_equiv_pos_as_xyz
'x,y,z'
loop_
_atom_site_label
_atom_site_fract_x
_atom_site_fract_y
_atom_site_fract_z
Ho1 0.020 0.108 0.147
Ho2 0.020 0.392 0.147
Ho3 0.165 0.250 0.616
Ho4 0.335 0.750 0.116
Ho5 0.480 0.608 0.647
Ho6 0.480 0.892 0.647
Ho7 0.520 0.108 0.353
Ho8 0.520 0.392 0.353
Ho9 0.665 0.250 0.884
Ho10 0.835 0.750 0.384
Ho11 0.980 0.608 0.853
Ho12 0.980 0.892 0.853
Ga1 0.125 0.606 0.353
Ga2 0.125 0.894 0.353
Ga3 0.375 0.106 0.853
Ga4 0.375 0.394 0.853
Ga5 0.625 0.606 0.147
Ga6 0.625 0.894 0.147
Ga7 0.875 0.106 0.647
Ga8 0.875 0.394 0.647
Cu1 0.176 0.033 0.578
Cu2 0.176 0.467 0.578
Cu3 0.201 0.750 0.618
Cu4 0.299 0.250 0.118
Cu5 0.324 0.533 0.078
Cu6 0.324 0.967 0.078
Cu7 0.676 0.033 0.922
Cu8 0.676 0.467 0.922
Cu9 0.701 0.750 0.882
Cu10 0.799 0.250 0.382
Cu11 0.824 0.533 0.422
Cu12 0.824 0.967 0.422
```

Nd2HoIr3 | PBE-GGA | optimized geometry

CIF file:
```
data_Nd2HoIr3
_chemical_formula_sum 'Nd4 Ho2 Ir6'
_cell_length_a 4.690
_cell_length_b 5.732
_cell_length_c 10.516
_cell_angle_alpha 90.00
_cell_angle_beta 90.00
_cell_angle_gamma 90.00
_symmetry_space_group_name_H-M 'P 1'
_symmetry_Int_Tables_number 1
loop_
_symmetry_equiv_pos_as_xyz
'x,y,z'
loop_
_atom_site_label
_atom_site_fract_x
_atom_site_fract_y
_atom_site_fract_z
Nd1 0.000 0.000 0.171
Nd2 0.000 0.000 0.829
Nd3 0.500 0.500 0.329
Nd4 0.500 0.500 0.671
Ho1 0.000 0.000 0.500
Ho2 0.500 0.500 0.000
Ir1 0.000 0.500 0.142
Ir2 0.000 0.500 0.500
Ir3 0.000 0.500 0.858
Ir4 0.500 0.000 0.000
Ir5 0.500 0.000 0.358
Ir6 0.500 0.000 0.642
```

CaNbN2 | PBE-GGA | optimized geometry

CIF file:
```
data_CaNbN2
_chemical_formula_sum 'Ca4 Nb4 N8'
_cell_length_a 5.123
_cell_length_b 5.123
_cell_length_c 9.879
_cell_angle_alpha 90.00
_cell_angle_beta 90.00
_cell_angle_gamma 90.00
_symmetry_space_group_name_H-M 'P 1'
_symmetry_Int_Tables_number 1
loop_
_symmetry_equiv_pos_as_xyz
'x,y,z'
loop_
_atom_site_label
_atom_site_fract_x
_atom_site_fract_y
_atom_site_fract_z
Ca1 0.000 0.000 0.000
Ca2 0.000 0.500 0.250
Ca3 0.500 0.000 0.750
Ca4 0.500 0.500 0.500
Nb1 0.000 0.000 0.500
Nb2 0.000 0.500 0.750
Nb3 0.500 0.000 0.250
Nb4 0.500 0.500 0.000
N1 0.185 0.250 0.625
N2 0.250 0.685 0.875
N3 0.250 0.815 0.375
N4 0.315 0.250 0.125
N5 0.685 0.750 0.125
N6 0.750 0.185 0.375
N7 0.750 0.315 0.875
N8 0.815 0.750 0.625
```

no.,calculated total energy (eV per atom),calculated volume (Å³/atom)
1,-3.5894,30.68
2,-7.0776,17.49
3,-3.6275,12.57
4,-3.7506,24.25
5,-4.3986,32.89
6,-4.4096,19.77
7,-7.1441,23.56
8,-8.1256,16.20